1.
Mg2SeBr: PBEsol geometry, meta-GGA SCAN.

The structure belongs to space group R3m (No. 160, hexagonal axes); the cell edges are 4.0988, 4.0988 and 23.6111 Å and the angles 90.00°, 90.00° and 120.00°. The distinct sites, in fractional coordinates, are Mg at (0.0000, 0.0000, 0.0000), Mg at (0.0000, 0.0000, 0.2210), Se at (0.0000, 0.0000, 0.6973) and Br at (0.0000, 0.0000, 0.4983).

For the uncorrected energy, the calculation gives -158.81 eV/cell. Its raw formation energy is -0.863 eV/atom.

2.
Mg2SeBr: PBEsol geometry, meta-GGA SCAN.

The structure belongs to space group C2/m (No. 12); the cell edges are 7.432, 7.506 and 3.786 Å and the angles 90.00°, 117.85° and 90.00°. The distinct sites, in fractional coordinates, are Mg at (0.250, 0.250, 0.000), Se at (0.000, 0.000, 0.500) and Br at (0.000, 0.500, 0.500).

For the uncorrected energy, the calculation gives -105.07 eV/cell. Its raw formation energy is -0.762 eV/atom.

3.
SrMgSe2Br: PBEsol geometry, meta-GGA SCAN.

The structure belongs to space group P4/mmm (No. 123); the cell edges are 5.657, 5.657 and 5.590 Å and the angles 90.00°, 90.00° and 90.00°. The distinct sites, in fractional coordinates, are Sr at (0.000, 0.000, 0.000), Mg at (0.500, 0.500, 0.500), Se at (0.000, 0.500, 0.000) and Br at (0.000, 0.000, 0.500).

For the uncorrected energy, the calculation gives -89.27 eV/cell. Its raw formation energy is -0.481 eV/atom.

4.
MgTcSeBr2: PBEsol geometry, meta-GGA SCAN.

The structure belongs to space group P4/mmm (No. 123); the cell edges are 4.918, 4.918 and 5.322 Å and the angles 90.00°, 90.00° and 90.00°. The distinct sites, in fractional coordinates, are Mg at (0.000, 0.000, 0.000), Tc at (0.500, 0.500, 0.500), Se at (0.000, 0.000, 0.500) and Br at (0.000, 0.500, 0.000).

For the uncorrected energy, the calculation gives -99.05 eV/cell. Its raw formation energy is -0.004 eV/atom.

5.
MgTiSe2Br: PBEsol geometry, meta-GGA SCAN.

The structure belongs to space group P4/mmm (No. 123); the cell edges are 4.927, 4.927 and 4.989 Å and the angles 90.00°, 90.00° and 90.00°. The distinct sites, in fractional coordinates, are Mg at (0.000, 0.000, 0.000), Ti at (0.500, 0.500, 0.500), Se at (0.000, 0.500, 0.500) and Br at (0.500, 0.500, 0.000).

For the uncorrected energy, the calculation gives -83.89 eV/cell. Its raw formation energy is -0.653 eV/atom.

6.
Mg2SiBr: PBEsol geometry, meta-GGA SCAN.

The structure belongs to space group Imm2 (No. 44); the cell edges are 3.417, 3.643 and 14.365 Å and the angles 90.00°, 90.00° and 90.00°. The distinct sites, in fractional coordinates, are Mg at (0.000, 0.000, 0.000), Mg at (0.000, 0.500, 0.289), Si at (0.000, 0.000, 0.423) and Br at (0.000, 0.500, 0.672).

For the uncorrected energy, the calculation gives -81.26 eV/cell. Its raw formation energy is -0.302 eV/atom.

7.
MgSi2Br: PBEsol geometry, meta-GGA SCAN.

The structure belongs to space group P4mm (No. 99); the cell edges are 3.439, 3.439 and 7.285 Å and the angles 90.00°, 90.00° and 90.00°. The distinct sites, in fractional coordinates, are Mg at (0.000, 0.000, 0.000), Si at (0.000, 0.000, 0.358), Si at (0.500, 0.500, 0.312) and Br at (0.500, 0.500, 0.812).

For the uncorrected energy, the calculation gives -44.81 eV/cell. Its raw formation energy is -0.087 eV/atom.

8.
MgSiBr3: PBEsol geometry, meta-GGA SCAN.

The structure belongs to space group Pm-3m (No. 221); the cell edges are 5.111, 5.111 and 5.111 Å and the angles 90.00°, 90.00° and 90.00°. The distinct sites, in fractional coordinates, are Mg at (0.000, 0.000, 0.000), Si at (0.500, 0.500, 0.500) and Br at (0.000, 0.000, 0.500).

For the uncorrected energy, the calculation gives -75.20 eV/cell. Its raw formation energy is -0.366 eV/atom.

9.
Mg2SiBr: PBEsol geometry, meta-GGA SCAN.

The structure belongs to space group Pmmm (No. 47); the cell edges are 3.335, 4.579 and 5.498 Å and the angles 90.00°, 90.00° and 90.00°. The distinct sites, in fractional coordinates, are Mg at (0.000, 0.000, 0.000), Mg at (0.500, 0.500, 0.500), Si at (0.000, 0.000, 0.500) and Br at (0.500, 0.500, 0.000).

For the uncorrected energy, the calculation gives -40.86 eV/cell. Its raw formation energy is -0.360 eV/atom.

10.
Mg2SiBr: PBEsol geometry, meta-GGA SCAN.

The structure belongs to space group Amm2 (No. 38); the cell edges are 4.718, 3.268 and 10.746 Å and the angles 90.00°, 90.00° and 90.00°. The distinct sites, in fractional coordinates, are Mg at (0.000, 0.000, 0.000), Mg at (0.500, 0.000, 0.234), Si at (0.500, 0.000, 0.505) and Br at (0.000, 0.000, 0.757).

For the uncorrected energy, the calculation gives -80.96 eV/cell. Its raw formation energy is -0.265 eV/atom.

11.
MgSi2Br: PBEsol geometry, meta-GGA SCAN.

The structure belongs to space group Cmmm (No. 65); the cell edges are 3.235, 5.380 and 8.950 Å and the angles 90.00°, 90.00° and 90.00°. The distinct sites, in fractional coordinates, are Mg at (0.000, 0.000, 0.000), Si at (0.000, 0.500, 0.253) and Br at (0.000, 0.000, 0.500).

For the uncorrected energy, the calculation gives -83.96 eV/cell. Its raw formation energy is 0.622 eV/atom.

12.
Mg2SiBr: PBEsol geometry, meta-GGA SCAN.

The structure belongs to space group Immm (No. 71); the cell edges are 3.728, 6.178 and 7.849 Å and the angles 90.00°, 90.00° and 90.00°. The distinct sites, in fractional coordinates, are Mg at (0.000, 0.000, 0.246), Si at (0.000, 0.500, 0.500) and Br at (0.000, 0.500, 0.000).

For the uncorrected energy, the calculation gives -78.92 eV/cell. Its raw formation energy is -0.010 eV/atom.

Size of the total moment for every record listed, in sequence, given in μB/cell: 2.94; 0.00; 1.00; 5.00; 0.00; 0.00; 0.00; 1.00; 0.00; 0.00; 0.00; 0.00.